# YSb4Se (PBE-GGA, relaxed)
# - E_form (uncorrected) (meV/atom) = -56.1
# - electronic total energy (eV/atom) = -4.462
# - crystal system = cubic
data_YSb4Se
_cell_length_a 8.7336
_cell_length_b 8.7336
_cell_length_c 8.7336
_cell_angle_alpha 90.00
_cell_angle_beta 90.00
_cell_angle_gamma 90.00
_symmetry_space_group_name_H-M 'F -4 3 m'
_symmetry_Int_Tables_number 216
_symmetry_space_group_name_Hall 'F -4 2 3'
loop_
_atom_site_label
_atom_site_type_symbol
_atom_site_fract_x
_atom_site_fract_y
_atom_site_fract_z
Y1 Y 0.0000 0.0000 0.0000
Sb1 Sb 0.1236 0.1236 0.6236
Se1 Se 0.2500 0.2500 0.2500